Record 1
Compound: TbEu2SbO6
Source: Alexandria via LeMat-Bulk
Functional: PBEsol
Structure: optimized geometry

a b c (Å): 5.872 5.872 5.872
angles (deg): 60.00 60.00 60.00
Last column: magnetic moment on the atom in μB.
Element x y z (fractional)
Eu (0.750, 0.750, 0.750)  6.88
Eu (0.250, 0.250, 0.250)  6.88
Sb (0.500, 0.500, 0.500)  0.00
Tb (0.000, 0.000, 0.000)  0.02
O (0.263, 0.737, 0.263)  -0.02
O (0.263, 0.737, 0.737)  -0.02
O (0.737, 0.263, 0.263)  -0.02
O (0.737, 0.737, 0.263)  -0.02
O (0.737, 0.263, 0.737)  -0.02
O (0.263, 0.263, 0.737)  -0.02

Computed properties:
- Formation energy (no corrections): -2509 kJ/mol of formula units
- M_tot: 14.00 μB per formula unit

Record 2
Compound: Eu2YSbO6
Source: Alexandria via LeMat-Bulk
Functional: PBEsol
Structure: optimized geometry

a b c (Å): 5.851 5.851 5.851
angles (deg): 60.00 60.00 60.00
Last column: magnetic moment on the atom in μB.
Element x y z (fractional)
Eu (0.250, 0.250, 0.250)  6.88
Eu (0.750, 0.750, 0.750)  6.88
Sb (0.500, 0.500, 0.500)  0.00
Y (0.000, 0.000, 0.000)  0.02
O (0.262, 0.738, 0.262)  -0.02
O (0.262, 0.262, 0.738)  -0.02
O (0.738, 0.738, 0.262)  -0.02
O (0.262, 0.738, 0.738)  -0.02
O (0.738, 0.262, 0.738)  -0.02
O (0.738, 0.262, 0.262)  -0.02

Computed properties:
- Formation energy (no corrections): -2525 kJ/mol of formula units
- M_tot: 14.00 μB per formula unit

Record 3
Compound: EuSeO4
Source: Alexandria via LeMat-Bulk
Functional: PBEsol
Structure: optimized geometry

a b c (Å): 6.794 7.035 7.245
angles (deg): 90.00 90.00 104.60
Last column: magnetic moment on the atom in μB.
Element x y z (fractional)
Eu (0.402, 0.220, 0.847)  6.67
Eu (0.098, 0.280, 0.347)  6.67
Eu (0.902, 0.720, 0.653)  6.67
Eu (0.598, 0.780, 0.153)  6.67
Se (0.886, 0.197, 0.837)  0.04
Se (0.614, 0.303, 0.337)  0.04
Se (0.386, 0.697, 0.663)  0.04
Se (0.114, 0.803, 0.163)  0.04
O (0.675, 0.020, 0.893)  0.01
O (0.998, 0.109, 0.657)  0.01
O (0.720, 0.115, 0.289)  0.01
O (0.432, 0.255, 0.503)  0.01
O (0.780, 0.385, 0.789)  0.01
O (0.068, 0.245, 0.003)  0.01
O (0.502, 0.391, 0.157)  0.01
O (0.825, 0.480, 0.393)  0.01
O (0.175, 0.520, 0.607)  0.01
O (0.498, 0.609, 0.843)  0.01
O (0.932, 0.755, 0.997)  0.01
O (0.220, 0.615, 0.211)  0.01
O (0.568, 0.745, 0.497)  0.01
O (0.280, 0.885, 0.711)  0.01
O (0.002, 0.891, 0.343)  0.01
O (0.325, 0.980, 0.107)  0.01

Computed properties:
- Formation energy (no corrections): -964 kJ/mol of formula units
- M_tot: 6.91 μB per formula unit
- Energy relative to the lowest polymorph listed for this composition: 0.0000 eV per atom

Record 4
Compound: EuSeO4
Source: Alexandria via LeMat-Bulk
Functional: PBEsol
Structure: optimized geometry

a b c (Å): 5.151 5.151 7.984
angles (deg): 90.00 90.00 111.40
Last column: magnetic moment on the atom in μB.
Element x y z (fractional)
Eu (0.000, 0.000, 0.000)  6.68
Eu (0.000, 0.000, 0.500)  6.68
Se (0.622, 0.378, 0.250)  0.04
Se (0.378, 0.622, 0.750)  0.04
O (0.238, 0.265, 0.750)  0.01
O (0.265, 0.238, 0.250)  0.01
O (0.725, 0.275, 0.072)  0.01
O (0.725, 0.275, 0.428)  0.01
O (0.275, 0.725, 0.572)  0.01
O (0.275, 0.725, 0.928)  0.01
O (0.762, 0.735, 0.250)  0.01
O (0.735, 0.762, 0.750)  0.01

Computed properties:
- Formation energy (no corrections): -932 kJ/mol of formula units
- M_tot: 6.93 μB per formula unit
- Energy relative to the lowest polymorph listed for this composition: 0.0549 eV per atom

Record 5
Compound: Sr2EuWO6
Source: Alexandria via LeMat-Bulk
Functional: PBEsol
Structure: optimized geometry

a b c (Å): 5.936 5.936 5.936
angles (deg): 60.00 60.00 60.00
Last column: magnetic moment on the atom in μB.
Element x y z (fractional)
Eu (0.500, 0.500, 0.500)  6.49
Sr (0.750, 0.750, 0.750)  0.01
Sr (0.250, 0.250, 0.250)  0.01
O (0.230, 0.770, 0.230)  -0.02
O (0.230, 0.770, 0.770)  -0.02
O (0.770, 0.230, 0.230)  -0.02
O (0.770, 0.770, 0.230)  -0.02
O (0.770, 0.230, 0.770)  -0.02
O (0.230, 0.230, 0.770)  -0.02
W (0.000, 0.000, 0.000)  0.35

Computed properties:
- Formation energy (no corrections): -2605 kJ/mol of formula units
- M_tot: 7.01 μB per formula unit

Record 6
Compound: EuTa2O6
Source: Alexandria via LeMat-Bulk
Functional: PBEsol
Structure: optimized geometry

a b c (Å): 3.930 3.930 7.933
angles (deg): 90.00 90.00 90.00
Last column: magnetic moment on the atom in μB.
Element x y z (fractional)
Eu (0.000, 0.000, 0.000)  6.67
Ta (0.500, 0.500, 0.259)  0.02
Ta (0.500, 0.500, 0.741)  0.02
O (0.500, 0.500, 0.500)  0.00
O (0.500, 0.500, 0.000)  -0.01
O (0.000, 0.500, 0.773)  -0.01
O (0.500, 0.000, 0.227)  -0.01
O (0.500, 0.000, 0.773)  -0.01
O (0.000, 0.500, 0.227)  -0.01

Computed properties:
- Formation energy (no corrections): -2625 kJ/mol of formula units
- M_tot: 6.80 μB per formula unit

Record 7
Compound: EuTaO4
Source: Alexandria via LeMat-Bulk
Functional: PBEsol
Structure: optimized geometry

a b c (Å): 5.084 5.442 6.544
angles (deg): 111.97 110.11 96.16
Last column: magnetic moment on the atom in μB.
Element x y z (fractional)
Eu (0.117, 0.367, 0.734)  6.17
Eu (0.883, 0.633, 0.266)  6.17
Ta (0.652, 0.902, 0.805)  0.01
Ta (0.348, 0.098, 0.195)  0.01
O (0.947, 0.736, 0.941)  -0.05
O (0.495, 0.205, 0.941)  -0.05
O (0.053, 0.264, 0.059)  -0.05
O (0.505, 0.795, 0.059)  -0.05
O (0.780, 0.944, 0.580)  -0.06
O (0.299, 0.636, 0.580)  -0.06
O (0.220, 0.056, 0.420)  -0.06
O (0.701, 0.364, 0.420)  -0.06

Computed properties:
- Formation energy (no corrections): -1708 kJ/mol of formula units
- M_tot: 6.00 μB per formula unit

Record 8
Compound: TbEu2TaO6
Source: Alexandria via LeMat-Bulk
Functional: PBEsol
Structure: optimized geometry

a b c (Å): 5.888 5.888 5.888
angles (deg): 60.00 60.00 60.00
Last column: magnetic moment on the atom in μB.
Element x y z (fractional)
Eu (0.250, 0.250, 0.250)  6.86
Eu (0.750, 0.750, 0.750)  6.86
Tb (0.000, 0.000, 0.000)  0.03
O (0.263, 0.737, 0.263)  -0.02
O (0.263, 0.263, 0.737)  -0.02
O (0.737, 0.737, 0.263)  -0.02
O (0.263, 0.737, 0.737)  -0.02
O (0.737, 0.263, 0.737)  -0.02
O (0.737, 0.263, 0.263)  -0.02
Ta (0.500, 0.500, 0.500)  0.04

Computed properties:
- Formation energy (no corrections): -2956 kJ/mol of formula units
- M_tot: 14.00 μB per formula unit

Record 9
Compound: Eu2TmTaO6
Source: Alexandria via LeMat-Bulk
Functional: PBEsol
Structure: optimized geometry

a b c (Å): 5.823 5.823 5.823
angles (deg): 60.00 60.00 60.00
Last column: magnetic moment on the atom in μB.
Element x y z (fractional)
Eu (0.250, 0.250, 0.250)  6.85
Eu (0.750, 0.750, 0.750)  6.85
Tm (0.000, 0.000, 0.000)  0.03
O (0.260, 0.740, 0.260)  -0.02
O (0.260, 0.260, 0.740)  -0.02
O (0.740, 0.740, 0.260)  -0.02
O (0.260, 0.740, 0.740)  -0.02
O (0.740, 0.260, 0.740)  -0.02
O (0.740, 0.260, 0.260)  -0.02
Ta (0.500, 0.500, 0.500)  0.05

Computed properties:
- Formation energy (no corrections): -3024 kJ/mol of formula units
- M_tot: 14.00 μB per formula unit

Record 10
Compound: Eu2YTaO6
Source: Alexandria via LeMat-Bulk
Functional: PBEsol
Structure: optimized geometry

a b c (Å): 5.864 5.864 5.864
angles (deg): 60.00 60.00 60.00
Last column: magnetic moment on the atom in μB.
Element x y z (fractional)
Eu (0.750, 0.750, 0.750)  6.85
Eu (0.250, 0.250, 0.250)  6.85
Y (0.000, 0.000, 0.000)  0.03
O (0.262, 0.738, 0.262)  -0.02
O (0.262, 0.738, 0.738)  -0.02
O (0.738, 0.262, 0.262)  -0.02
O (0.738, 0.738, 0.262)  -0.02
O (0.738, 0.262, 0.738)  -0.02
O (0.262, 0.262, 0.738)  -0.02
Ta (0.500, 0.500, 0.500)  0.05

Computed properties:
- Formation energy (no corrections): -2977 kJ/mol of formula units
- M_tot: 14.00 μB per formula unit

Record 11
Compound: EuTm2O4
Source: Alexandria via LeMat-Bulk
Functional: PBEsol
Structure: optimized geometry

a b c (Å): 3.322 9.765 11.658
angles (deg): 90.00 90.00 90.00
Last column: magnetic moment on the atom in μB.
Element x y z (fractional)
Eu (0.750, 0.751, 0.349)  6.81
Eu (0.250, 0.249, 0.651)  6.81
Eu (0.250, 0.749, 0.849)  6.81
Eu (0.750, 0.251, 0.151)  6.81
Tm (0.750, 0.924, 0.610)  0.03
Tm (0.250, 0.076, 0.390)  0.03
Tm (0.250, 0.576, 0.110)  0.03
Tm (0.750, 0.424, 0.890)  0.03
Tm (0.750, 0.421, 0.389)  0.05
Tm (0.250, 0.579, 0.611)  0.05
Tm (0.250, 0.079, 0.889)  0.05
Tm (0.750, 0.921, 0.111)  0.05
O (0.750, 0.514, 0.217)  -0.01
O (0.250, 0.486, 0.783)  -0.01
O (0.250, 0.986, 0.717)  -0.01
O (0.750, 0.014, 0.283)  -0.01
O (0.750, 0.925, 0.921)  -0.02
O (0.250, 0.075, 0.079)  -0.02
O (0.250, 0.575, 0.421)  -0.02
O (0.750, 0.425, 0.579)  -0.02
O (0.750, 0.712, 0.677)  -0.02
O (0.250, 0.288, 0.323)  -0.02
O (0.250, 0.788, 0.177)  -0.02
O (0.750, 0.212, 0.823)  -0.02
O (0.750, 0.628, 0.981)  -0.02
O (0.250, 0.372, 0.019)  -0.02
O (0.250, 0.872, 0.481)  -0.02
O (0.750, 0.128, 0.519)  -0.02

Computed properties:
- Formation energy (no corrections): -2342 kJ/mol of formula units
- M_tot: 7.00 μB per formula unit

Record 12
Compound: EuVO3
Source: Alexandria via LeMat-Bulk
Functional: PBEsol
Structure: optimized geometry

a b c (Å): 3.800 3.800 3.800
angles (deg): 90.00 90.00 90.00
Last column: magnetic moment on the atom in μB.
Element x y z (fractional)
Eu (0.500, 0.500, 0.500)  6.65
O (0.500, 0.000, 0.000)  -0.02
O (0.000, 0.500, 0.000)  -0.02
O (0.000, 0.000, 0.500)  -0.02
V (0.000, 0.000, 0.000)  -0.05

Computed properties:
- Formation energy (no corrections): -1380 kJ/mol of formula units
- M_tot: 6.66 μB per formula unit

Please write out number 10 again, unchanged.
Compound: Eu2YTaO6
Source: Alexandria via LeMat-Bulk
Functional: PBEsol
Structure: optimized geometry

a b c (Å): 5.864 5.864 5.864
angles (deg): 60.00 60.00 60.00
Last column: magnetic moment on the atom in μB.
Element x y z (fractional)
Eu (0.750, 0.750, 0.750)  6.85
Eu (0.250, 0.250, 0.250)  6.85
Y (0.000, 0.000, 0.000)  0.03
O (0.262, 0.738, 0.262)  -0.02
O (0.262, 0.738, 0.738)  -0.02
O (0.738, 0.262, 0.262)  -0.02
O (0.738, 0.738, 0.262)  -0.02
O (0.738, 0.262, 0.738)  -0.02
O (0.262, 0.262, 0.738)  -0.02
Ta (0.500, 0.500, 0.500)  0.05

Computed properties:
- Formation energy (no corrections): -2977 kJ/mol of formula units
- M_tot: 14.00 μB per formula unit